No. 1
The following is a DFT calculation (PBE) of a relaxed PuHfAs2N crystal.

Results
* total energy: -92.6 eV for the cell shown
* ΔE_f (raw): -0.875 eV per atom

Geometry as CIF:
```
data_PuHfAs2N
_cell_length_a 3.791
_cell_length_b 3.791
_cell_length_c 13.324
_cell_angle_alpha 90.00
_cell_angle_beta 90.00
_cell_angle_gamma 90.00
_symmetry_space_group_name_H-M 'P 4/n m m'
_symmetry_Int_Tables_number 129
loop_
_symmetry_equiv_pos_as_xyz
'x,y,z'
'-x,-y,-z'
'-y+1/2,x,z'
'y+1/2,-x,-z'
'-x+1/2,-y+1/2,z'
'x+1/2,y+1/2,-z'
'y,-x+1/2,z'
'-y,x+1/2,-z'
'x+1/2,-y,-z'
'-x+1/2,y,z'
'-y,-x,-z'
'y,x,z'
'-x,y+1/2,-z'
'x,-y+1/2,z'
'y+1/2,x+1/2,-z'
'-y+1/2,-x+1/2,z'
loop_
_atom_site_label
_atom_site_type_symbol
_atom_site_fract_x
_atom_site_fract_y
_atom_site_fract_z
_atom_site_occupancy
Pu1 Pu 0.250 0.250 0.087 1
Hf1 Hf 0.250 0.250 0.594 1
As1 As 0.250 0.250 0.384 1
As2 As 0.250 0.250 0.796 1
N1 N 0.250 0.750 0.000 1
```

No. 2
The following is a DFT calculation (PBE) of a relaxed HfAsRhN2 crystal.

Results
* total energy: -34.1 eV for the cell shown
* ΔE_f (raw): 0.897 eV per atom

Geometry as CIF:
```
data_HfAsRhN2
_cell_length_a 3.863
_cell_length_b 3.863
_cell_length_c 4.693
_cell_angle_alpha 90.00
_cell_angle_beta 90.00
_cell_angle_gamma 90.00
_symmetry_space_group_name_H-M 'P 4/m m m'
_symmetry_Int_Tables_number 123
_symmetry_space_group_name_Hall '-P 4 2'
loop_
_atom_site_label
_atom_site_type_symbol
_atom_site_fract_x
_atom_site_fract_y
_atom_site_fract_z
_atom_site_occupancy
Hf1 Hf 0.000 0.000 0.000 1
As1 As 0.500 0.500 0.500 1
Rh1 Rh 0.500 0.500 0.000 1
N1 N 0.000 0.500 0.500 1
```

No. 3
The following is a DFT calculation (PBE) of a relaxed HfAsS2N crystal.

Results
* distance to the lowest polymorph of the same formula: 0 meV/atom
* total energy: -30.6 eV for the cell shown
* ΔE_f (raw): 0.112 eV per atom

Geometry as CIF:
```
data_HfAsS2N
_cell_length_a 5.038
_cell_length_b 5.038
_cell_length_c 3.977
_cell_angle_alpha 90.00
_cell_angle_beta 90.00
_cell_angle_gamma 90.00
_symmetry_space_group_name_H-M 'P 4/m m m'
_symmetry_Int_Tables_number 123
_symmetry_space_group_name_Hall '-P 4 2'
loop_
_atom_site_label
_atom_site_type_symbol
_atom_site_fract_x
_atom_site_fract_y
_atom_site_fract_z
_atom_site_occupancy
Hf1 Hf 0.000 0.000 0.000 1
As1 As 0.500 0.500 0.500 1
S1 S 0.000 0.500 0.000 1
N1 N 0.000 0.000 0.500 1
```